(1)
The following is a DFT calculation (PBE-GGA) of a relaxed structure of LiPmHgAs.

a b c (Å): 5.0472 5.0472 5.0472
angles (deg): 60.00 60.00 60.00
Last column: nearest neighbours and their distance in Å.
Atoms (fractional coordinates):
As: 0.2500 0.2500 0.2500  4 Li 3.09, 4 Pm 3.09
Li: 0.0000 0.0000 0.0000  4 Hg 3.09, 4 As 3.09
Hg: 0.7500 0.7500 0.7500  4 Li 3.09, 4 Pm 3.09
Pm: 0.5000 0.5000 0.5000  4 As 3.09, 4 Hg 3.09

Results
For the density of states at the Fermi level, the calculation gives 2.34 states/eV/cell. Its space group is F-43m, No. 216. The calculation puts the calculated formation energy at -14.135 kcal/mol of atoms. The calculation puts the magnetization at 0.0 μB per formula unit. The crystal system is cubic.



(2)
The following is a DFT calculation (PBE-GGA) of a relaxed structure of Ho3Te12Pd5.

a b c (Å): 14.5433 14.5433 14.5433
angles (deg): 109.47 109.47 109.47
Last column: nearest neighbours and their distance in Å.
Atoms (fractional coordinates):
Te: 0.7095 0.1270 0.0386  2 Pd 2.63-2.72
Te: 0.3292 0.5386 0.4117  2 Pd 2.63-2.72
Te: 0.9614 0.3730 0.2905  2 Pd 2.63-2.72
Te: 0.5386 0.2095 0.1270  2 Pd 2.63-2.72
Te: 0.5825 0.7095 0.6708  2 Pd 2.63-2.72
Te: 0.9614 0.5883 0.1708  2 Pd 2.63-2.72
Te: 0.3292 0.7905 0.4175  2 Pd 2.63-2.72
Te: 0.0883 0.9175 0.1270  2 Pd 2.63-2.72
Te: 0.5883 0.9614 0.6708  2 Pd 2.63-2.72
Te: 0.7095 0.5825 0.1708  2 Pd 2.63-2.72
Te: 0.7905 0.4614 0.3730  2 Pd 2.63-2.72
Te: 0.8292 0.9117 0.0386  2 Pd 2.63-2.72
Te: 0.1270 0.7095 0.5386  2 Pd 2.63-2.72
Te: 0.3730 0.4117 0.0825  2 Pd 2.63-2.72
Te: 0.0825 0.9117 0.3730  2 Pd 2.63-2.72
Te: 0.4175 0.1270 0.5883  2 Pd 2.63-2.72
Te: 0.0825 0.1708 0.2095  2 Pd 2.63-2.72
Te: 0.4614 0.6708 0.0883  2 Pd 2.63-2.72
Te: 0.8292 0.9175 0.2905  2 Pd 2.63-2.72
Te: 0.1270 0.4175 0.0883  2 Pd 2.63-2.72
Te: 0.3730 0.9614 0.7905  2 Pd 2.63-2.72
Te: 0.5883 0.6270 0.4175  2 Pd 2.63-2.72
Te: 0.9117 0.8292 0.5386  2 Pd 2.63-2.72
Te: 0.7905 0.3292 0.9175  2 Pd 2.63-2.72
Te: 0.4117 0.3730 0.5825  2 Pd 2.63-2.72
Te: 0.0883 0.1708 0.4614  2 Pd 2.63-2.72
Te: 0.2095 0.6708 0.0825  2 Pd 2.63-2.72
Te: 0.1708 0.0825 0.7095  2 Pd 2.63-2.72
Te: 0.6270 0.0386 0.2095  2 Pd 2.63-2.72
Te: 0.8730 0.5825 0.9117  2 Pd 2.63-2.72
Te: 0.5386 0.3292 0.9117  2 Pd 2.63-2.72
Te: 0.5825 0.8730 0.4117  2 Pd 2.63-2.72
Te: 0.9175 0.8292 0.7905  2 Pd 2.63-2.72
Te: 0.9175 0.0883 0.6270  2 Pd 2.63-2.72
Te: 0.8730 0.2905 0.4614  2 Pd 2.63-2.72
Te: 0.1708 0.0883 0.9614  2 Pd 2.63-2.72
Te: 0.6270 0.5883 0.9175  2 Pd 2.63-2.72
Te: 0.4117 0.0386 0.3292  2 Pd 2.63-2.72
Te: 0.2905 0.4175 0.8292  2 Pd 2.63-2.72
Te: 0.2095 0.5386 0.6270  2 Pd 2.63-2.72
Te: 0.9117 0.0825 0.8730  2 Pd 2.63-2.72
Te: 0.6708 0.2095 0.5825  2 Pd 2.63-2.72
Te: 0.4614 0.7905 0.8730  2 Pd 2.63-2.72
Te: 0.0386 0.4117 0.8292  2 Pd 2.63-2.72
Te: 0.4175 0.2905 0.3292  2 Pd 2.63-2.72
Te: 0.0386 0.6270 0.7095  2 Pd 2.63-2.72
Te: 0.6708 0.4614 0.5883  2 Pd 2.63-2.72
Te: 0.2905 0.8730 0.9614  2 Pd 2.63-2.72
Ho: 0.7500 0.3750 0.1250  8 Te 3.16-3.23
Ho: 0.8750 0.7500 0.1250  8 Te 3.16-3.23
Ho: 0.3750 0.7500 0.6250  8 Te 3.16-3.23
Ho: 0.2500 0.1250 0.3750  8 Te 3.16-3.23
Ho: 0.8750 0.1250 0.2500  8 Te 3.16-3.23
Ho: 0.3750 0.6250 0.2500  8 Te 3.16-3.23
Ho: 0.6250 0.3750 0.7500  8 Te 3.16-3.23
Ho: 0.1250 0.8750 0.7500  8 Te 3.16-3.23
Ho: 0.7500 0.8750 0.6250  8 Te 3.16-3.23
Ho: 0.6250 0.2500 0.3750  8 Te 3.16-3.23
Ho: 0.1250 0.2500 0.8750  8 Te 3.16-3.23
Ho: 0.2500 0.6250 0.8750  8 Te 3.16-3.23
Pd: 0.1250 0.3750 0.2500  4 Te 2.63
Pd: 0.0000 0.5000 0.0000  6 Te 2.72
Pd: 0.0000 0.0000 0.0000  6 Te 2.72
Pd: 0.3750 0.2500 0.1250  4 Te 2.63
Pd: 0.5000 0.0000 0.5000  6 Te 2.72
Pd: 0.5000 0.5000 0.0000  6 Te 2.72
Pd: 0.1250 0.7500 0.3750  4 Te 2.63
Pd: 0.7500 0.1250 0.8750  4 Te 2.63
Pd: 0.7500 0.6250 0.3750  4 Te 2.63
Pd: 0.3750 0.1250 0.7500  4 Te 2.63
Pd: 0.6250 0.8750 0.2500  4 Te 2.63
Pd: 0.5000 0.5000 0.5000  6 Te 2.72
Pd: 0.5000 0.0000 0.0000  6 Te 2.72
Pd: 0.0000 0.0000 0.5000  6 Te 2.72
Pd: 0.2500 0.3750 0.6250  4 Te 2.63
Pd: 0.2500 0.8750 0.1250  4 Te 2.63
Pd: 0.0000 0.5000 0.5000  6 Te 2.72
Pd: 0.8750 0.2500 0.6250  4 Te 2.63
Pd: 0.6250 0.7500 0.8750  4 Te 2.63
Pd: 0.8750 0.6250 0.7500  4 Te 2.63

Results
The uncorrected formation energy comes out at -567 meV/atom. For the density of states at the Fermi level, the calculation gives 43.38 states/eV/cell. Its space group is Ia-3d, No. 230. The calculation puts the magnetization at 0.0 μB per formula unit. The crystal system is cubic.



(3)
The following is a DFT calculation (PBE-GGA) of a relaxed structure of Ho2HOs.

a b c (Å): 3.2616 3.2616 7.0779
angles (deg): 90.00 90.00 90.00
Last column: nearest neighbours and their distance in Å.
Atoms (fractional coordinates):
H: 0.5000 0.5000 0.5000  8 Ho 2.94, 4 H 3.26
Os: 0.5000 0.5000 0.0000  8 Ho 2.87
Ho: 0.0000 0.0000 0.7587  4 Os 2.87, 4 H 2.94
Ho: 0.0000 0.0000 0.2413  4 Os 2.87, 4 H 2.94

Results
The value obtained for the excess energy over the best structure of this formula in the dataset is 0.000 eV per atom. For the density of states at the Fermi level, the calculation gives 1.92 states/eV/cell. Its space group is P4/mmm, No. 123. The calculation puts the magnetization at 0.0 μB per formula unit. The crystal system is tetragonal.



(4)
The following is a DFT calculation (PBE-GGA) of a relaxed structure of LiHfSeS.

a b c (Å): 3.6461 3.6461 6.8069
angles (deg): 74.47 74.47 60.00
Last column: nearest neighbours and their distance in Å.
Atoms (fractional coordinates):
Li: 0.7429 0.7429 0.7712  3 S 2.57, 3 Se 2.76
Hf: 0.2551 0.2551 0.2347  3 S 2.60, 3 Se 2.70
Se: 0.5016 0.5016 0.4951  3 Hf 2.70, 3 Li 2.76
S: 0.0003 0.0003 0.9990  3 Li 2.57, 3 Hf 2.60

Results
The uncorrected formation energy comes out at -1382 meV/atom. For the density of states at the Fermi level, the calculation gives 1.37 states/eV/cell. Its space group is R3m, No. 160. The calculation puts the magnetization at 0.0 μB per formula unit. The crystal system is trigonal.



(5)
The following is a DFT calculation (PBE-GGA) of a relaxed structure of ZrCd2Si.

a b c (Å): 5.4169 5.4169 5.4169
angles (deg): 134.19 134.19 66.79
Last column: nearest neighbours and their distance in Å.
Atoms (fractional coordinates):
Cd: 0.0000 0.0000 0.0000  4 Si 2.98, 4 Cd 3.09, 4 Zr 3.09
Cd: 0.2500 0.7500 0.5000  4 Zr 2.98, 4 Si 3.09, 4 Cd 3.09
Si: 0.5000 0.5000 0.0000  8 Cd 2.98-3.09, 4 Zr 3.09
Zr: 0.7500 0.2500 0.5000  8 Cd 2.98-3.09, 4 Si 3.09

Results
The uncorrected formation energy comes out at 42 meV/atom. For the density of states at the Fermi level, the calculation gives 4.66 states/eV/cell. Its space group is I-4m2, No. 119. The calculation puts the magnetization at 0.0 μB per formula unit. The crystal system is tetragonal.



(6)
The following is a DFT calculation (PBE-GGA) of a relaxed structure of NaMo2As2.

a b c (Å): 3.7890 3.7890 7.7675
angles (deg): 75.88 75.88 90.00
Last column: nearest neighbours and their distance in Å.
Atoms (fractional coordinates):
Na: 0.0000 0.0000 0.0000  8 As 3.25
Mo: 0.7500 0.2500 0.5000  4 As 2.62, 4 Mo 2.68
Mo: 0.2500 0.7500 0.5000  4 As 2.62, 4 Mo 2.68
As: 0.3740 0.3740 0.2519  4 Mo 2.62
As: 0.6260 0.6260 0.7481  4 Mo 2.62

Results
The value obtained for the excess energy over the best structure of this formula in the dataset is 0.000 eV per atom. For the density of states at the Fermi level, the calculation gives 1.28 states/eV/cell. Its space group is I4/mmm, No. 139. The calculation puts the calculated formation energy at -5.010 kcal/mol of atoms. The calculation puts the magnetization at 0.0 μB per formula unit. The crystal system is tetragonal.



(7)
The following is a DFT calculation (PBE-GGA) of a relaxed structure of PrNd2Pd.

a b c (Å): 3.7457 3.7457 11.1436
angles (deg): 80.32 80.32 60.00
Last column: nearest neighbours and their distance in Å.
Atoms (fractional coordinates):
Pr: 0.0000 0.0000 0.0000  2 Nd 3.52, 6 Pr 3.75
Nd: 0.1075 0.1075 0.6776  3 Pd 2.91
Nd: 0.8925 0.8925 0.3224  3 Pd 2.91
Pd: 0.5000 0.5000 0.5000  6 Nd 2.91

Results
The value obtained for the excess energy over the best structure of this formula in the dataset is 0.317 eV per atom. For the density of states at the Fermi level, the calculation gives 5.78 states/eV/cell. Its space group is R-3m, No. 166. The calculation puts the calculated formation energy at -1.975 kcal/mol of atoms. The calculation puts the magnetization at 0.5 μB per formula unit. The crystal system is trigonal.



(8)
The following is a DFT calculation (PBE-GGA) of a relaxed structure of TiNb3Ga.

a b c (Å): 5.3575 5.3575 5.3439
angles (deg): 59.92 59.92 60.00
Last column: nearest neighbours and their distance in Å.
Atoms (fractional coordinates):
Ti: 0.1500 0.1500 0.5499  6 Nb 2.66-2.68
Nb: 0.6464 0.1515 0.0507  4 Nb 2.65-2.71, 2 Ti 2.66-2.68
Nb: 0.1515 0.6464 0.0507  4 Nb 2.65-2.71, 2 Ti 2.66-2.68
Nb: 0.1515 0.1515 0.0507  4 Nb 2.65-2.71, 2 Ti 2.66-2.68
Ga: 0.7756 0.7756 0.6731  9 Nb 3.13-3.14, 3 Ti 3.14

Results
The value obtained for the excess energy over the best structure of this formula in the dataset is 0.000 eV per atom. For the density of states at the Fermi level, the calculation gives 5.82 states/eV/cell. Its space group is R3m, No. 160. The calculation puts the calculated formation energy at 18.233 kcal/mol of atoms. The calculation puts the magnetization at 0.0 μB per formula unit. The crystal system is trigonal.



(9)
The following is a DFT calculation (PBE-GGA) of a relaxed structure of Pu2ScPaBi4.

a b c (Å): 4.4762 7.6859 7.7661
angles (deg): 109.47 90.00 90.00
Last column: nearest neighbours and their distance in Å.
Atoms (fractional coordinates):
Pu: 0.5000 0.0000 0.5000  6 Bi 3.24
Pu: 0.0000 0.5000 0.5000  6 Bi 3.18
Sc: 0.5000 0.5000 0.0000  6 Bi 3.06-3.08
Pa: 0.0000 0.0000 0.0000  6 Bi 3.13-3.14
Bi: 0.5000 0.2540 0.2398  1 Sc 3.06, 2 Pa 3.14, 3 Pu 3.18-3.24
Bi: 0.5000 0.7460 0.7602  1 Sc 3.06, 2 Pa 3.14, 3 Pu 3.18-3.24
Bi: 0.0000 0.2610 0.7648  2 Sc 3.08, 1 Pa 3.13, 3 Pu 3.18-3.24
Bi: 0.0000 0.7390 0.2352  2 Sc 3.08, 1 Pa 3.13, 3 Pu 3.18-3.24

Results
For the density of states at the Fermi level, the calculation gives 27.55 states/eV/cell. Its space group is P2/m, No. 10. The calculation puts the calculated formation energy at -8.451 kcal/mol of atoms. The calculation puts the magnetization at 11.8 μB per formula unit. The crystal system is monoclinic.



(10)
The following is a DFT calculation (PBE-GGA) of a relaxed structure of Cs2Na3CeF12.

a b c (Å): 8.2170 8.2170 8.2170
angles (deg): 57.30 57.30 57.30
Last column: nearest neighbours and their distance in Å.
Atoms (fractional coordinates):
Cs: 0.6096 0.6096 0.6096  6 F 3.01-3.35
Cs: 0.3904 0.3904 0.3904  6 F 3.01-3.35
Na: 0.5000 0.0000 0.0000  6 F 2.28-2.30
Na: 0.0000 0.5000 0.0000  6 F 2.28-2.30
Na: 0.0000 0.0000 0.5000  6 F 2.28-2.30
Ce: 0.0000 0.0000 0.0000  6 F 2.18
F: 0.3472 0.3472 0.8400  2 F 2.29, 2 Na 2.30
F: 0.9237 0.9237 0.3256  1 Ce 2.18, 1 Na 2.28
F: 0.3256 0.9237 0.9237  1 Ce 2.18, 1 Na 2.28
F: 0.8400 0.3472 0.3472  2 F 2.29, 2 Na 2.30
F: 0.9237 0.3256 0.9237  1 Ce 2.18, 1 Na 2.28
F: 0.3472 0.8400 0.3472  2 F 2.29, 2 Na 2.30
F: 0.6528 0.6528 0.1600  2 F 2.29, 2 Na 2.30
F: 0.0763 0.0763 0.6744  1 Ce 2.18, 1 Na 2.28
F: 0.6744 0.0763 0.0763  1 Ce 2.18, 1 Na 2.28
F: 0.1600 0.6528 0.6528  2 F 2.29, 2 Na 2.30
F: 0.0763 0.6744 0.0763  1 Ce 2.18, 1 Na 2.28
F: 0.6528 0.1600 0.6528  2 F 2.29, 2 Na 2.30

Results
The uncorrected formation energy comes out at -2527 meV/atom. For the density of states at the Fermi level, the calculation gives 4.58 states/eV/cell. Its space group is R-3m, No. 166. The calculation puts the magnetization at 3.0 μB per formula unit. The crystal system is trigonal.



(11)
The following is a DFT calculation (PBE-GGA) of a relaxed structure of Tb3Dy2Tm5.

a b c (Å): 6.1956 10.9615 10.9615
angles (deg): 99.86 73.58 73.58
Last column: nearest neighbours and their distance in Å.
Atoms (fractional coordinates):
Tb: 0.2500 0.0000 0.0000  2 Tb 3.10, 2 Tm 3.20, 4 Dy 3.31
Tb: 0.7500 0.0000 0.0000  2 Tb 3.10, 2 Tm 3.20, 4 Dy 3.31
Tb: 0.3410 0.4077 0.9102  4 Dy 3.43-3.65, 4 Tm 3.45-3.63
Tb: 0.6590 0.5923 0.0898  4 Dy 3.43-3.65, 4 Tm 3.45-3.63
Tb: 0.8410 0.9102 0.4077  4 Dy 3.43-3.65, 4 Tm 3.45-3.63
Tb: 0.1590 0.0898 0.5923  4 Dy 3.43-3.65, 4 Tm 3.45-3.63
Dy: 0.1016 0.7421 0.0548  1 Tm 3.15, 3 Tb 3.31-3.43
Dy: 0.8984 0.2579 0.9452  1 Tm 3.15, 3 Tb 3.31-3.43
Dy: 0.6016 0.0548 0.7421  1 Tm 3.15, 3 Tb 3.31-3.43
Dy: 0.3984 0.9452 0.2579  1 Tm 3.15, 3 Tb 3.31-3.43
Tm: 0.2500 0.5000 0.5000  8 Tm 3.10-3.28
Tm: 0.7500 0.5000 0.5000  8 Tm 3.10-3.28
Tm: 0.5021 0.7479 0.7479  3 Tm 3.10-3.14, 1 Tb 3.20
Tm: 0.9979 0.2521 0.2521  3 Tm 3.10-3.14, 1 Tb 3.20
Tm: 0.4979 0.2521 0.2521  3 Tm 3.10-3.14, 1 Tb 3.20
Tm: 0.0021 0.7479 0.7479  3 Tm 3.10-3.14, 1 Tb 3.20
Tm: 0.0981 0.5578 0.2461  1 Dy 3.15, 2 Tm 3.28, 1 Tb 3.45
Tm: 0.9019 0.4422 0.7539  1 Dy 3.15, 2 Tm 3.28, 1 Tb 3.45
Tm: 0.5981 0.2461 0.5578  1 Dy 3.15, 2 Tm 3.28, 1 Tb 3.45
Tm: 0.4019 0.7539 0.4422  1 Dy 3.15, 2 Tm 3.28, 1 Tb 3.45

Results
The value obtained for the excess energy over the best structure of this formula in the dataset is 0.153 eV per atom. For the density of states at the Fermi level, the calculation gives 31.44 states/eV/cell. Its space group is Ibam, No. 72. The calculation puts the calculated formation energy at 8.181 kcal/mol of atoms. The calculation puts the magnetization at 0.0 μB per formula unit. The crystal system is orthorhombic.



(12)
The following is a DFT calculation (PBE-GGA) of a relaxed structure of AlGaBi2.

a b c (Å): 4.2486 4.9530 4.9530
angles (deg): 90.00 90.00 90.00
Last column: nearest neighbours and their distance in Å.
Atoms (fractional coordinates):
Bi: 0.0000 0.0000 0.5000  4 Al 3.26, 4 Ga 3.26, 4 Bi 3.50
Bi: 0.0000 0.5000 0.0000  4 Al 3.26, 4 Ga 3.26, 4 Bi 3.50
Ga: 0.5000 0.0000 0.0000  8 Bi 3.26, 4 Al 3.50
Al: 0.5000 0.5000 0.5000  8 Bi 3.26, 4 Ga 3.50

Results
For the density of states at the Fermi level, the calculation gives 2.05 states/eV/cell. Its space group is P4/mmm, No. 123. The calculation puts the calculated formation energy at 4.419 kcal/mol of atoms. The calculation puts the magnetization at 0.0 μB per formula unit. The crystal system is tetragonal.